1.
# HfCdSi2O8 | Alexandria via LeMat-Bulk | PBE | relaxed
# - formation energy from raw total energies (eV/atom) = -2.177
# - M_tot (μB per atom) = 0.1669
data_HfCdSi2O8
_space_group_name_H-M_alt 'P -3 m 1'
_space_group_IT_number 164
_space_group_name_Hall '-P 3 2"'
_cell_length_a 5.4696
_cell_length_b 5.4696
_cell_length_c 6.3848
_cell_angle_alpha 90.00
_cell_angle_beta 90.00
_cell_angle_gamma 120.00
loop_
_atom_site_label
_atom_site_type_symbol
_atom_site_fract_x
_atom_site_fract_y
_atom_site_fract_z
_atom_site_occupancy
Hf1 Hf 0.0000 0.0000 0.0000 1
Cd1 Cd 0.0000 0.0000 0.5000 1
Si1 Si 0.3333 0.6667 0.7199 1
O1 O 0.1686 0.3371 0.7952 1
O2 O 0.3333 0.6667 0.4608 1

---

2.
# HfCd2SnO6 | Alexandria via LeMat-Bulk | PBE | relaxed
# - formation energy from raw total energies (eV/atom) = -1.966
# - M_tot (μB per atom) = 0.0000
data_HfCd2SnO6
_space_group_name_H-M_alt 'R 3'
_space_group_IT_number 146
_space_group_name_Hall 'R 3'
_cell_length_a 5.5931
_cell_length_b 5.5931
_cell_length_c 14.3862
_cell_angle_alpha 90.00
_cell_angle_beta 90.00
_cell_angle_gamma 120.00
loop_
_atom_site_label
_atom_site_type_symbol
_atom_site_fract_x
_atom_site_fract_y
_atom_site_fract_z
_atom_site_occupancy
Hf1 Hf 0.0000 0.0000 0.0000 1
Cd1 Cd 0.0000 0.0000 0.2693 1
Cd2 Cd 0.0000 0.0000 0.7736 1
Sn1 Sn 0.0000 0.0000 0.4988 1
O1 O 0.0661 0.3440 0.5745 1
O2 O 0.0657 0.7223 0.0748 1

---

3.
# HfTaCdO6 | Alexandria via LeMat-Bulk | PBE | relaxed
# - formation energy from raw total energies (eV/atom) = -2.424
# - M_tot (μB per atom) = 0.1153
data_HfTaCdO6
_space_group_name_H-M_alt 'P 42 n m'
_space_group_IT_number 102
_space_group_name_Hall 'P 4n -2n'
_cell_length_a 4.965
_cell_length_b 4.965
_cell_length_c 9.755
_cell_angle_alpha 90.00
_cell_angle_beta 90.00
_cell_angle_gamma 90.00
loop_
_atom_site_label
_atom_site_type_symbol
_atom_site_fract_x
_atom_site_fract_y
_atom_site_fract_z
_atom_site_occupancy
Hf1 Hf 0.000 0.000 0.000 1
Ta1 Ta 0.000 0.000 0.671 1
Cd1 Cd 0.000 0.000 0.334 1
O1 O 0.180 0.180 0.829 1
O2 O 0.206 0.206 0.528 1
O3 O 0.217 0.217 0.147 1

---

4.
# HfCdTcO6 | Alexandria via LeMat-Bulk | PBE | relaxed
# - formation energy from raw total energies (eV/atom) = -1.915
# - M_tot (μB per atom) = 0.1126
data_HfCdTcO6
_space_group_name_H-M_alt 'P -3 1 c'
_space_group_IT_number 163
_space_group_name_Hall '-P 3 2c'
_cell_length_a 5.3250
_cell_length_b 5.3250
_cell_length_c 9.6215
_cell_angle_alpha 90.00
_cell_angle_beta 90.00
_cell_angle_gamma 120.00
loop_
_atom_site_label
_atom_site_type_symbol
_atom_site_fract_x
_atom_site_fract_y
_atom_site_fract_z
_atom_site_occupancy
Hf1 Hf 0.3333 0.6667 0.2500 1
Cd1 Cd 0.0000 0.0000 0.0000 1
Tc1 Tc 0.3333 0.6667 0.7500 1
O1 O 0.0196 0.3745 0.6382 1

---

5.
# HfCdTeO2 | Alexandria via LeMat-Bulk | PBE | relaxed
# - formation energy from raw total energies (eV/atom) = 0.187
# - M_tot (μB per atom) = 0.0000
# - energy above the most stable polymorph in this dataset (eV per atom) = 1.612
data_HfCdTeO2
_space_group_name_H-M_alt 'P 4/m m m'
_space_group_IT_number 123
_space_group_name_Hall '-P 4 2'
_cell_length_a 4.183
_cell_length_b 4.183
_cell_length_c 5.540
_cell_angle_alpha 90.00
_cell_angle_beta 90.00
_cell_angle_gamma 90.00
loop_
_atom_site_label
_atom_site_type_symbol
_atom_site_fract_x
_atom_site_fract_y
_atom_site_fract_z
_atom_site_occupancy
Hf1 Hf 0.000 0.000 0.000 1
Cd1 Cd 0.500 0.500 0.000 1
Te1 Te 0.500 0.500 0.500 1
O1 O 0.000 0.500 0.500 1

---

6.
# HfCd2TeO6 | Alexandria via LeMat-Bulk | PBE | relaxed
# - formation energy from raw total energies (eV/atom) = -1.535
# - M_tot (μB per atom) = 0.0000
data_HfCd2TeO6
_space_group_name_H-M_alt 'P 4 m m'
_space_group_IT_number 99
_space_group_name_Hall 'P 4 -2'
_cell_length_a 5.714
_cell_length_b 5.714
_cell_length_c 4.895
_cell_angle_alpha 90.00
_cell_angle_beta 90.00
_cell_angle_gamma 90.00
loop_
_atom_site_label
_atom_site_type_symbol
_atom_site_fract_x
_atom_site_fract_y
_atom_site_fract_z
_atom_site_occupancy
Hf1 Hf 0.000 0.000 0.000 1
Cd1 Cd 0.000 0.500 0.388 1
Te1 Te 0.500 0.500 0.064 1
O1 O 0.000 0.000 0.609 1
O2 O 0.244 0.244 0.127 1
O3 O 0.500 0.500 0.461 1

---

7.
# HfCdTe2O8 | Alexandria via LeMat-Bulk | PBE | relaxed
# - formation energy from raw total energies (eV/atom) = -1.381
# - M_tot (μB per atom) = 0.0000
data_HfCdTe2O8
_space_group_name_H-M_alt 'I -4 m 2'
_space_group_IT_number 119
_space_group_name_Hall 'I -4 -2'
_cell_length_a 7.164
_cell_length_b 7.164
_cell_length_c 6.801
_cell_angle_alpha 90.00
_cell_angle_beta 90.00
_cell_angle_gamma 90.00
loop_
_atom_site_label
_atom_site_type_symbol
_atom_site_fract_x
_atom_site_fract_y
_atom_site_fract_z
_atom_site_occupancy
Hf1 Hf 0.000 0.000 0.000 1
Cd1 Cd 0.000 0.500 0.250 1
Te1 Te 0.000 0.000 0.500 1
Te2 Te 0.000 0.500 0.750 1
O1 O 0.000 0.181 0.296 1
O2 O 0.000 0.291 0.946 1

---

8.
# HfCdTeO6 | Alexandria via LeMat-Bulk | PBE | relaxed
# - formation energy from raw total energies (eV/atom) = -1.844
# - M_tot (μB per atom) = 0.0000
data_HfCdTeO6
_space_group_name_H-M_alt 'P -3 1 c'
_space_group_IT_number 163
_space_group_name_Hall '-P 3 2c'
_cell_length_a 5.3982
_cell_length_b 5.3982
_cell_length_c 9.6665
_cell_angle_alpha 90.00
_cell_angle_beta 90.00
_cell_angle_gamma 120.00
loop_
_atom_site_label
_atom_site_type_symbol
_atom_site_fract_x
_atom_site_fract_y
_atom_site_fract_z
_atom_site_occupancy
Hf1 Hf 0.3333 0.6667 0.2500 1
Cd1 Cd 0.0000 0.0000 0.0000 1
Te1 Te 0.3333 0.6667 0.7500 1
O1 O 0.0193 0.3764 0.6386 1